An optimized crystal structure of NdYAsSe. Source: the Alexandria database, functional GGA-PBE.

## Properties
Space-group type = R3m
Total DFT energy (no corrections) = -6.570 eV/atom

a b c (Å): 4.172 4.172 7.287
angles (deg): 73.37 73.37 60.00
Sites, in units of the cell vectors:
Nd (0.996, 0.996, 0.012)
Y (0.504, 0.504, 0.488)
As (0.247, 0.247, 0.260)
Se (0.753, 0.753, 0.740)